Entry 1:
TbPaIn: relaxed, PBE.

Values from the calculation:
Mass density ... 10297 kg/m3
Energy above the most stable polymorph in this dataset ... 172.8 meV/atom
N(E_F) ... 2.041 states/eV per atom
Energy ... -32.92 eV per cell
Formation enthalpy at 0 K ... 0.135 eV per atom
Total magnetic moment ... 1.38 μB per cell

Cell and atoms, written as CIF:
```
data_TbPaIn
_chemical_formula_sum 'Tb2 Pa2 In2'
_cell_length_a 3.988
_cell_length_b 3.988
_cell_length_c 10.236
_cell_angle_alpha 90.00
_cell_angle_beta 90.00
_cell_angle_gamma 90.00
_space_group_name_H-M_alt 'I 4 m m'
_space_group_IT_number 107
_space_group_name_Hall 'I 4 -2'
loop_
_atom_site_label
_atom_site_type_symbol
_atom_site_fract_x
_atom_site_fract_y
_atom_site_fract_z
Tb1 Tb 0.000 0.000 0.000
Pa1 Pa 0.000 0.000 0.682
In1 In 0.000 0.000 0.346
```

Entry 2:
AgOsPb2: relaxed, PBE.

Values from the calculation:
Mass density ... 13994 kg/m3
Energy above the most stable polymorph in this dataset ... 166.8 meV/atom
N(E_F) ... 0.785 states/eV per atom
Energy ... -18.42 eV per cell
Formation enthalpy at 0 K ... 0.770 eV per atom
Total magnetic moment ... 0.00 μB per cell

Cell and atoms, written as CIF:
```
data_AgOsPb2
_chemical_formula_sum 'Ag1 Os1 Pb2'
_cell_length_a 5.048
_cell_length_b 5.048
_cell_length_c 3.317
_cell_angle_alpha 90.00
_cell_angle_beta 90.00
_cell_angle_gamma 90.00
_space_group_name_H-M_alt 'P 4/m m m'
_space_group_IT_number 123
_space_group_name_Hall '-P 4 2'
loop_
_atom_site_label
_atom_site_type_symbol
_atom_site_fract_x
_atom_site_fract_y
_atom_site_fract_z
Ag1 Ag 0.000 0.000 0.000
Os1 Os 0.500 0.500 0.000
Pb1 Pb 0.000 0.500 0.500
```